The following is a GGA-PBE calculation of a relaxed structure of Ho7Sb2Pd2, from Alexandria.

## Properties
* theoretical density: 8.94 g/cm3
* N(E_F): 1.039 states/eV per atom
* formation energy from raw total energies: -0.733 eV per atom
* energy relative to the lowest polymorph listed for this composition: 0 meV per atom
* M_tot: 0.00 μB per formula unit

a b c (Å): 3.9884 15.5913 9.6234
angles (deg): 90.00 90.00 90.00
Space group Imm2 (No. 44)
Asymmetric unit:
Ho1 0.0000 0.0000 0.0000
Ho2 0.0000 0.1219 0.5830
Ho3 0.0000 0.3155 0.3742
Ho4 0.0000 0.3580 0.7343
Sb1 0.0000 0.0000 0.3298
Sb2 0.0000 0.5000 0.2432
Pd1 0.0000 0.2381 0.0675

***

The following is a GGA-PBE calculation of a relaxed structure of Ho5Sb2Pd, from Alexandria.

## Properties
* theoretical density: 8.13 g/cm3
* N(E_F): 0.692 states/eV per atom
* formation energy from raw total energies: -0.481 eV per atom
* energy relative to the lowest polymorph listed for this composition: 356 meV per atom
* M_tot: 0.00 μB per formula unit

a b c (Å): 5.7912 12.0228 13.7856
angles (deg): 90.00 90.00 90.00
Space group Cmcm (No. 63)
Asymmetric unit:
Ho1 0.0000 0.0643 0.1054
Ho2 0.0000 0.3637 0.7500
Ho3 0.0000 0.3766 0.0657
Sb1 0.0000 0.1930 0.5946
Pd1 0.0000 0.2236 0.2500

***

The following is a GGA-PBE calculation of a relaxed structure of HoSb2Pd5, from Alexandria.

## Properties
* theoretical density: 10.04 g/cm3
* N(E_F): 0.481 states/eV per atom
* formation energy from raw total energies: -0.617 eV per atom
* M_tot: 0.00 μB per formula unit

a b c (Å): 4.2038 5.8357 12.6795
angles (deg): 90.00 90.00 90.00
Space group Immm (No. 71)
Asymmetric unit:
Ho1 0.0000 0.0000 0.0000
Sb1 0.0000 0.5000 0.2125
Pd1 0.0000 0.2446 0.3850
Pd2 0.0000 0.5000 0.0000

***

The following is a GGA-PBE calculation of a relaxed structure of Ho3Sb2Pd7, from Alexandria.

## Properties
* theoretical density: 10.28 g/cm3
* N(E_F): 0.690 states/eV per atom
* formation energy from raw total energies: -0.771 eV per atom
* M_tot: 0.00 μB per formula unit

a b c (Å): 4.0861 4.0861 28.7018
angles (deg): 90.00 90.00 90.00
Space group I4/mmm (No. 139)
Asymmetric unit:
Ho1 0.0000 0.0000 0.0000
Ho2 0.0000 0.0000 0.1782
Sb1 0.0000 0.0000 0.3685
Pd1 0.0000 0.0000 0.2744
Pd2 0.0000 0.0000 0.5000
Pd3 0.0000 0.5000 0.0729

***

The following is a GGA-PBE calculation of a relaxed structure of Ho3Sb4Pd8, from Alexandria.

## Properties
* theoretical density: 10.49 g/cm3
* N(E_F): 0.613 states/eV per atom
* formation energy from raw total energies: -0.828 eV per atom
* M_tot: 0.00 μB per formula unit

a b c (Å): 13.2415 13.2415 13.2415
angles (deg): 90.00 90.00 90.00
Space group Fm-3m (No. 225)
Asymmetric unit:
Ho1 0.0000 0.0000 0.2249
Sb1 0.0000 0.0000 0.0000
Sb2 0.0000 0.0000 0.5000
Sb3 0.0000 0.2500 0.2500
Pd1 0.1187 0.1187 0.3813
Pd2 0.1663 0.1663 0.1663

***

The following is a GGA-PBE calculation of a relaxed structure of Ho3SbPd, from Alexandria.

## Properties
* theoretical density: 8.51 g/cm3
* N(E_F): 0.917 states/eV per atom
* formation energy from raw total energies: -0.650 eV per atom
* M_tot: 0.00 μB per formula unit

a b c (Å): 15.0237 10.6412 7.1974
angles (deg): 90.00 101.33 90.00
Space group C2/c (No. 15)
Asymmetric unit:
Ho1 0.0945 0.2462 0.4662
Ho2 0.0977 0.4354 0.9109
Ho3 0.1358 0.0897 0.0411
Sb1 0.2375 0.3625 0.2564
Pd1 0.0000 0.0446 0.2500
Pd2 0.0000 0.2208 0.7500

***

The following is a GGA-PBE calculation of a relaxed structure of Ho2SbPd6, from Alexandria.

## Properties
* theoretical density: 9.55 g/cm3
* N(E_F): 0.306 states/eV per atom
* formation energy from raw total energies: -0.546 eV per atom
* M_tot: 0.00 μB per formula unit

a b c (Å): 12.7978 7.8508 3.9678
angles (deg): 90.00 108.03 90.00
Space group C2/m (No. 12)
Asymmetric unit:
Ho1 0.1571 0.0000 0.1557
Sb1 0.0000 0.5000 0.5000
Pd1 0.0000 0.2756 0.0000
Pd2 0.1658 0.2662 0.6654

***

The following is a GGA-PBE calculation of a relaxed structure of HoSbPd14, from Alexandria.

## Properties
* theoretical density: 11.39 g/cm3
* N(E_F): 1.576 states/eV per atom
* formation energy from raw total energies: -0.313 eV per atom
* M_tot: 0.00 μB per formula unit

a b c (Å): 5.7327 5.7327 7.8778
angles (deg): 90.00 90.00 90.00
Space group P4/mmm (No. 123)
Asymmetric unit:
Ho1 0.0000 0.0000 0.0000
Sb1 0.5000 0.5000 0.0000
Pd1 0.0000 0.0000 0.5000
Pd2 0.0000 0.5000 0.0000
Pd3 0.0000 0.5000 0.5000
Pd4 0.2522 0.2522 0.2537
Pd5 0.5000 0.5000 0.5000

***

The following is a GGA-PBE calculation of a relaxed structure of HoSbPd5, from Alexandria.

## Properties
* theoretical density: 10.59 g/cm3
* N(E_F): 0.263 states/eV per atom
* formation energy from raw total energies: -0.713 eV per atom
* energy relative to the lowest polymorph listed for this composition: 0 meV per atom
* M_tot: 0.00 μB per formula unit

a b c (Å): 4.1748 4.1748 7.3673
angles (deg): 90.00 90.00 90.00
Space group P4/mmm (No. 123)
Asymmetric unit:
Ho1 0.0000 0.0000 0.0000
Sb1 0.5000 0.5000 0.5000
Pd1 0.0000 0.5000 0.2754
Pd2 0.5000 0.5000 0.0000

***

The following is a GGA-PBE calculation of a relaxed structure of Ho2SbPd9, from Alexandria.

## Properties
* theoretical density: 11.38 g/cm3
* N(E_F): 0.264 states/eV per atom
* formation energy from raw total energies: -0.731 eV per atom
* M_tot: 0.00 μB per formula unit

a b c (Å): 4.0983 4.0983 12.2395
angles (deg): 90.00 90.00 90.00
Space group P4/mmm (No. 123)
Asymmetric unit:
Ho1 0.0000 0.0000 0.1655
Sb1 0.0000 0.0000 0.5000
Pd1 0.0000 0.5000 0.0000
Pd2 0.0000 0.5000 0.3395
Pd3 0.5000 0.5000 0.1721
Pd4 0.5000 0.5000 0.5000

***

The following is a GGA-PBE calculation of a relaxed structure of HoSb2Pd4, from Alexandria.

## Properties
* theoretical density: 10.18 g/cm3
* N(E_F): 0.272 states/eV per atom
* formation energy from raw total energies: -0.672 eV per atom
* M_tot: 0.00 μB per formula unit

a b c (Å): 7.8975 7.8975 4.3647
angles (deg): 90.00 90.00 90.00
Space group P4_2/mnm (No. 136)
Asymmetric unit:
Ho1 0.0000 0.0000 0.0000
Sb1 0.2162 0.2162 0.5000
Pd1 0.0985 0.6472 0.5000

***

The following is a GGA-PBE calculation of a relaxed structure of HoSn2Sb2Pd7, from Alexandria.

## Properties
* theoretical density: 9.23 g/cm3
* N(E_F): 0.376 states/eV per atom
* formation energy from raw total energies: -0.510 eV per atom
* M_tot: 0.00 μB per formula unit

a b c (Å): 5.6835 5.7237 15.4231
angles (deg): 90.00 93.83 90.00
Space group C2/m (No. 12)
Asymmetric unit:
Ho1 0.0000 0.0000 0.0000
Sn1 0.1350 0.0000 0.4138
Sb1 0.0470 0.5000 0.2493
Pd1 0.0000 0.5000 0.0000
Pd2 0.1235 0.5000 0.4210
Pd3 0.2246 0.2504 0.8619

***

The following is a GGA-PBE calculation of a relaxed structure of Ho4ScPd15, from Alexandria.

## Properties
* theoretical density: 11.15 g/cm3
* N(E_F): 0.652 states/eV per atom
* M_tot: 0.00 μB per formula unit
* formation energy from the elements: -0.882 eV per atom

a b c (Å): 4.0874 4.0874 20.5103
angles (deg): 90.00 90.00 90.00
Space group P4/mmm (No. 123)
Asymmetric unit:
Ho1 0.0000 0.0000 0.1011
Ho2 0.0000 0.0000 0.3033
Sc1 0.0000 0.0000 0.5000
Pd1 0.0000 0.5000 0.0000
Pd2 0.0000 0.5000 0.2024
Pd3 0.0000 0.5000 0.4049
Pd4 0.5000 0.5000 0.1012
Pd5 0.5000 0.5000 0.3036
Pd6 0.5000 0.5000 0.5000

***

The following is a GGA-PBE calculation of a relaxed structure of HoSc2Pd6, from Alexandria.

## Properties
* theoretical density: 8.79 g/cm3
* N(E_F): 0.479 states/eV per atom
* M_tot: 0.00 μB per formula unit
* formation energy from the elements: -0.611 eV per atom

a b c (Å): 4.6511 7.6351 9.5084
angles (deg): 90.00 90.00 90.00
Space group Immm (No. 71)
Asymmetric unit:
Ho1 0.0000 0.0000 0.0000
Sc1 0.0000 0.0000 0.3353
Pd1 0.0000 0.2845 0.5000
Pd2 0.0000 0.3030 0.1744

***

The following is a GGA-PBE calculation of a relaxed structure of Ho3ScPd6, from Alexandria.

## Properties
* theoretical density: 10.16 g/cm3
* N(E_F): 0.557 states/eV per atom
* M_tot: 0.00 μB per formula unit
* formation energy from the elements: -0.856 eV per atom

a b c (Å): 8.0170 4.9254 10.4333
angles (deg): 90.00 110.77 90.00
Space group P2_1/m (No. 11)
Asymmetric unit:
Ho1 0.0189 0.2500 0.3794
Ho2 0.1430 0.7500 0.2037
Ho3 0.2993 0.2500 0.9936
Sc1 0.4423 0.2500 0.5864
Pd1 0.0440 0.7500 0.9163
Pd2 0.1654 0.2500 0.6845
Pd3 0.2582 0.7500 0.5032
Pd4 0.3444 0.7500 0.8143
Pd5 0.3661 0.2500 0.3002
Pd6 0.4443 0.7500 0.1364

***

The following is a GGA-PBE calculation of a relaxed structure of Ho5ScPd6, from Alexandria.

## Properties
* theoretical density: 10.05 g/cm3
* N(E_F): 0.606 states/eV per atom
* M_tot: 0.00 μB per formula unit
* formation energy from the elements: -0.895 eV per atom

a b c (Å): 4.9524 6.7821 7.8160
angles (deg): 90.00 108.30 90.00
Space group P2/m (No. 10)
Asymmetric unit:
Ho1 0.0000 0.0000 0.0000
Ho2 0.3326 0.0000 0.6657
Ho3 0.3343 0.5000 0.6693
Sc1 0.0000 0.5000 0.0000
Pd1 0.1614 0.2551 0.3217
Pd2 0.5000 0.2585 0.0000

***

The following is a GGA-PBE calculation of a relaxed structure of HoScPd2, from Alexandria.

## Properties
* theoretical density: 8.90 g/cm3
* N(E_F): 0.444 states/eV per atom
* energy relative to the lowest polymorph listed for this composition: 27 meV per atom
* M_tot: 0.00 μB per formula unit
* formation energy from the elements: -0.885 eV per atom

a b c (Å): 4.8637 4.8637 3.3355
angles (deg): 90.00 90.00 90.00
Space group P4/mmm (No. 123)
Asymmetric unit:
Ho1 0.0000 0.0000 0.0000
Sc1 0.5000 0.5000 0.0000
Pd1 0.0000 0.5000 0.5000

***

The following is a GGA-PBE calculation of a relaxed structure of Ho6ScPd3, from Alexandria.

## Properties
* theoretical density: 8.57 g/cm3
* N(E_F): 1.178 states/eV per atom
* M_tot: 0.00 μB per formula unit
* formation energy from the elements: -0.492 eV per atom

a b c (Å): 11.3001 13.1336 7.0717
angles (deg): 90.00 90.00 90.00
Space group Cmc2_1 (No. 36)
Asymmetric unit:
Ho1 0.0000 0.0412 0.0000
Ho2 0.0000 0.2285 0.6247
Ho3 0.1654 0.4628 0.4803
Ho4 0.2291 0.1972 0.3239
Sc1 0.0000 0.3195 0.1109
Pd1 0.0000 0.4167 0.7799
Pd2 0.1871 0.0988 0.6945

***

The following is a GGA-PBE calculation of a relaxed structure of Ho2Sc3Pd4, from Alexandria.

## Properties
* theoretical density: 7.83 g/cm3
* N(E_F): 0.788 states/eV per atom
* energy relative to the lowest polymorph listed for this composition: 0 meV per atom
* M_tot: 0.00 μB per formula unit
* formation energy from the elements: -0.821 eV per atom

a b c (Å): 7.2622 7.3105 7.5657
angles (deg): 90.00 109.96 90.00
Space group P2_1/c (No. 14)
Asymmetric unit:
Ho1 0.1930 0.1741 0.0743
Sc1 0.2470 0.6601 0.2487
Sc2 0.5000 0.0000 0.5000
Pd1 0.0873 0.5450 0.8587
Pd2 0.4974 0.6366 0.6292